## Cu7PdAu12 (PBE)

Data for crystalline Cu7PdAu12 at its relaxed geometry.

Cell lengths 7.348, 7.348, 7.348 Å; angles 107.30, 107.30, 107.30 degrees
Sites, in units of the cell vectors:
Cu 0.873 0.603 0.747
Cu 0.397 0.253 0.127
Cu 0.253 0.127 0.397
Cu 0.500 0.500 0.500
Cu 0.747 0.873 0.603
Cu 0.603 0.747 0.873
Cu 0.127 0.397 0.253
Pd 0.000 0.000 0.000
Au 0.953 0.300 0.846
Au 0.700 0.154 0.047
Au 0.635 0.180 0.445
Au 0.820 0.555 0.365
Au 0.154 0.047 0.700
Au 0.555 0.365 0.820
Au 0.445 0.635 0.180
Au 0.846 0.953 0.300
Au 0.180 0.445 0.635
Au 0.365 0.820 0.555
Au 0.300 0.846 0.953
Au 0.047 0.700 0.154

Summary:
Volume in Å³/atom: 16.38
Energy of formation from the pure elements in meV/atom: 13
Final energy in eV per cell: -72.9
M_tot in μB per formula unit: 0.00